LiErZn2: relaxed, GGA-PBE.

The density of states at the Fermi level is 0.47 states/eV per atom. Its energy above the most stable polymorph in this dataset is 54 meV per atom. The calculation puts the volume at 19.96 Å³ per atom. The formation energy comes out at -0.187 eV per atom.

The structure belongs to space group P4/mmm (No. 123); the cell edges are 4.9180, 4.9180 and 3.3012 Å and the angles 90.00°, 90.00° and 90.00°. The distinct sites, in fractional coordinates, are Li at (0.0000, 0.0000, 0.0000), Er at (0.5000, 0.5000, 0.0000) and Zn at (0.0000, 0.5000, 0.5000).


Li2Er2Zn15: relaxed, GGA-PBE.

The density of states at the Fermi level is 0.34 states/eV per atom. The calculation puts the volume at 16.02 Å³ per atom. The formation energy comes out at -0.244 eV per atom.

The structure belongs to space group R-3m (No. 166, hexagonal axes); the cell edges are 8.9925, 8.9925 and 13.0384 Å and the angles 90.00°, 90.00° and 120.00°. The distinct sites, in fractional coordinates, are Li at (0.0000, 0.0000, 0.0985), Er at (0.0000, 0.0000, 0.3402), Zn at (0.0000, 0.2984, 0.0000), Zn at (0.0000, 0.5000, 0.5000) and Zn at (0.0074, 0.5037, 0.1525).


Li6ErZn6: relaxed, GGA-PBE.

The density of states at the Fermi level is 0.40 states/eV per atom. The calculation puts the volume at 16.44 Å³ per atom. The formation energy comes out at -0.184 eV per atom.

The structure belongs to space group Immm (No. 71); the cell edges are 5.1226, 9.1099 and 9.1598 Å and the angles 90.00°, 90.00° and 90.00°. The distinct sites, in fractional coordinates, are Li at (0.0000, 0.0000, 0.1548), Li at (0.0000, 0.2928, 0.0000), Li at (0.0000, 0.3563, 0.5000), Er at (0.0000, 0.0000, 0.5000), Zn at (0.0000, 0.5000, 0.2095) and Zn at (0.2500, 0.2500, 0.2500).


Li4ErZn12: relaxed, GGA-PBE.

The density of states at the Fermi level is 0.47 states/eV per atom. The calculation puts the volume at 18.61 Å³ per atom. The formation energy comes out at 0.184 eV per atom.

The structure belongs to space group Im-3 (No. 204); the cell edges are 8.5848, 8.5848 and 8.5848 Å and the angles 90.00°, 90.00° and 90.00°. The distinct sites, in fractional coordinates, are Li at (0.2500, 0.2500, 0.2500), Er at (0.0000, 0.0000, 0.0000) and Zn at (0.0000, 0.1492, 0.3529).